# PBE with a Hubbard U KAcNiO4, optimized geometry
# Final energy in eV/atom: -5.576
data_KAcNiO4
_chemical_formula_sum 'K2 Ac2 Ni2 O8'
_symmetry_space_group_name_H-M 'P 1'
_symmetry_Int_Tables_number 1
_cell_length_a 6.1095
_cell_length_b 5.6309
_cell_length_c 7.6461
_cell_angle_alpha 90.00
_cell_angle_beta 103.45
_cell_angle_gamma 90.00
loop_
_symmetry_equiv_pos_as_xyz
'x,y,z'
loop_
_atom_site_label
_atom_site_fract_x
_atom_site_fract_y
_atom_site_fract_z
_atom_site_occupancy
K1 0.7165 0.7500 0.9333 1
K2 0.2835 0.2500 0.0667 1
Ac1 0.7609 0.7500 0.4416 1
Ac2 0.2391 0.2500 0.5584 1
Ni1 0.2259 0.7500 0.3015 1
Ni2 0.7741 0.2500 0.6985 1
O1 0.9663 0.4946 0.7048 1
O2 0.0337 0.9946 0.2952 1
O3 0.0337 0.5054 0.2952 1
O4 0.9663 0.0054 0.7048 1
O5 0.4331 0.7500 0.1724 1
O6 0.5669 0.2500 0.8276 1
O7 0.3952 0.7500 0.5375 1
O8 0.6048 0.2500 0.4625 1